# 1
Density functional theory data (GGA-PBE) for a relaxed ZnMoRu2 crystal.

a = 3.0907 Å, b = 3.0907 Å, c = 6.0378 Å
α = 90.00°, β = 90.00°, γ = 90.00°
Space group P4/mmm (No. 123)
Symmetry-distinct sites (fractional):
Zn 0.0000 0.0000 0.0000 [1 per cell]
Mo 0.0000 0.0000 0.5000 [1 per cell]
Ru 0.5000 0.5000 0.2491 [2 per cell]

Properties
Energy in eV for the cell shown: -30.841
ΔH_f (0 K) in eV/atom: -0.0459
Magnetic moment in μB/cell: 0.0
DOS at the Fermi energy in states/eV per cell: 2.05

***

# 2
Density functional theory data (GGA-PBE) for a relaxed ZnMo2Ru crystal.

a = 2.7618 Å, b = 4.0374 Å, c = 5.3194 Å
α = 90.00°, β = 90.21°, γ = 90.00°
Space group P2/m (No. 10)
Symmetry-distinct sites (fractional):
Zn 0.0000 0.0000 0.0000 [1 per cell]
Mo 0.4987 0.5000 0.7453 [2 per cell]
Ru 0.0000 0.0000 0.5000 [1 per cell]

Properties
Energy in eV for the cell shown: -32.014
ΔH_f (0 K) in eV/atom: 0.0495
Magnetic moment in μB/cell: 0.0
DOS at the Fermi energy in states/eV per cell: 2.82

***

# 3
Density functional theory data (GGA-PBE) for a relaxed Zn2MoRu crystal.

a = 3.0395 Å, b = 4.3458 Å, c = 4.4409 Å
α = 90.00°, β = 90.00°, γ = 90.00°
Space group Pmmm (No. 47)
Symmetry-distinct sites (fractional):
Zn 0.0000 0.0000 0.0000 [1 per cell]
Zn 0.5000 0.5000 0.0000 [1 per cell]
Mo 0.0000 0.5000 0.5000 [1 per cell]
Ru 0.5000 0.0000 0.5000 [1 per cell]

Properties
Energy in eV for the cell shown: -22.091
ΔH_f (0 K) in eV/atom: 0.1410
Magnetic moment in μB/cell: 0.0
Polymorph energy (0 for the lowest one) in meV/atom: 168.5
DOS at the Fermi energy in states/eV per cell: 2.64

***

# 4
Density functional theory data (GGA-PBE) for a relaxed ZnMo2Ru crystal.

a = 5.3365 Å, b = 8.1154 Å, c = 2.7486 Å
α = 90.00°, β = 90.64°, γ = 90.00°
Space group C2/m (No. 12)
Symmetry-distinct sites (fractional):
Zn 0.0000 0.0000 0.0000 [2 per cell]
Mo 0.2500 0.2500 0.5000 [4 per cell]
Ru 0.0000 0.5000 0.0000 [2 per cell]

Properties
Energy in eV for the cell shown: -63.385
ΔH_f (0 K) in eV/atom: 0.1298
Magnetic moment in μB/cell: 0.0
DOS at the Fermi energy in states/eV per cell: 7.31